First-principles (GGA-PBE) data for UPaRhO6 after structural relaxation, as listed in Alexandria.

a = 5.9041 Å, b = 5.9041 Å, c = 8.9635 Å
α = 90.00°, β = 90.00°, γ = 120.00°
Space group P-31c (No. 163)
Symmetry-distinct sites (fractional):
U1 0.3333 0.6667 0.2500 x2
Pa1 0.3333 0.6667 0.7500 x2
Rh1 0.0000 0.0000 0.0000 x2
O1 0.0106 0.3631 0.1366 x12

Final energy   -8.904 eV/atom
E_form (uncorrected)   -2.472 eV per atom